Density functional theory data (PBE) for a relaxed structure of Na5H6Os.

a b c (Å): 5.845 5.845 5.595
angles (deg): 97.89 97.89 123.15
Fractional positions:
Na 0.000 0.000 0.000
Na 0.171 0.829 0.500
Na 0.353 0.647 0.000
Na 0.647 0.353 0.000
Na 0.829 0.171 0.500
H 0.194 0.434 0.313
H 0.295 0.295 0.686
H 0.434 0.194 0.313
H 0.566 0.806 0.687
H 0.705 0.705 0.314
H 0.806 0.566 0.687
Os 0.500 0.500 0.500

Properties
The calculation puts the density at 3.4 g cm⁻³. The final energy comes out at -3.30 eV per atom.

=====

Density functional theory data (PBE) for a relaxed structure of Na5H12Os2.

a b c (Å): 6.409 6.409 7.902
angles (deg): 128.02 128.02 57.48
Fractional positions:
Na 0.000 0.000 0.000
Na 0.281 0.281 0.563
Na 0.282 0.282 0.001
Na 0.718 0.718 0.999
Na 0.719 0.719 0.437
H 0.060 0.507 0.283
H 0.112 0.112 0.612
H 0.224 0.775 0.719
H 0.225 0.776 0.281
H 0.493 0.940 0.717
H 0.499 0.499 0.612
H 0.501 0.501 0.388
H 0.507 0.060 0.283
H 0.775 0.224 0.719
H 0.776 0.225 0.281
H 0.888 0.888 0.388
H 0.940 0.493 0.717
Os 0.250 0.750 0.500
Os 0.750 0.250 0.500

Properties
The calculation puts the density at 4.3 g cm⁻³. The final energy comes out at -3.77 eV per atom.

=====

Density functional theory data (PBE) for a relaxed structure of Na2H7Os.

a b c (Å): 5.714 5.714 8.079
angles (deg): 113.65 113.65 63.95
Fractional positions:
Na 0.230 0.235 0.350
Na 0.235 0.230 0.850
Na 0.765 0.770 0.150
Na 0.770 0.765 0.650
H 0.170 0.830 0.250
H 0.177 0.450 0.147
H 0.213 0.550 0.677
H 0.351 0.644 0.055
H 0.356 0.649 0.445
H 0.450 0.177 0.647
H 0.450 0.787 0.823
H 0.550 0.213 0.177
H 0.550 0.823 0.353
H 0.644 0.351 0.555
H 0.649 0.356 0.945
H 0.787 0.450 0.323
H 0.823 0.550 0.853
H 0.830 0.170 0.750
Os 0.445 0.555 0.250
Os 0.555 0.445 0.750

Properties
The calculation puts the density at 3.9 g cm⁻³. The final energy comes out at -3.87 eV per atom.

=====

Density functional theory data (PBE) for a relaxed structure of Na2HOs.

a b c (Å): 5.771 5.771 5.771
angles (deg): 109.16 109.16 110.09
Fractional positions:
Na 0.023 0.625 0.898
Na 0.375 0.273 0.398
Na 0.727 0.125 0.102
Na 0.875 0.977 0.602
H 0.000 0.000 0.000
H 0.750 0.250 0.500
Os 0.250 0.750 0.500
Os 0.500 0.500 0.000

Properties
The excess energy over the best structure of this formula in the dataset is 0.0 meV per atom. The calculation puts the density at 5.3 g cm⁻³. The final energy comes out at -3.00 eV per atom.